1.
Compound: Sr2LiO12
Source: Alexandria via LeMat-Bulk
Functional: PBE
Structure: optimized geometry

Computed properties:
excess energy over the best structure of this formula in the dataset = 10 meV per atom
uncorrected formation energy = -0.873 eV per atom
volume = 14.238 A^3/atom

Lattice parameters (Å, degrees): 4.9644 6.1109 8.0760 90.28 107.66 112.54
Last column: nearest neighbours and their distance in Å.
Space group P-1 (No. 2)
Inequivalent atoms, fractional coordinates:
Sr  0.1246  0.3300  0.2403 (multiplicity 2)  9 O 2.62-2.70
Li  0.5000  0.0000  0.5000 (multiplicity 1)  6 O 2.09-2.26
O  0.1032  0.9683  0.5560 (multiplicity 2)  1 O 1.33
O  0.1051  0.7211  0.1109 (multiplicity 2)  1 O 1.32
O  0.2246  0.9288  0.2108 (multiplicity 2)  1 O 1.32
O  0.2818  0.5635  0.6713 (multiplicity 2)  1 O 1.35
O  0.3571  0.6374  0.5281 (multiplicity 2)  1 O 1.35
O  0.4585  0.9005  0.9537 (multiplicity 2)  1 O 1.28

***

2.
Compound: Ho6CdIn2
Source: Alexandria via LeMat-Bulk
Functional: PBE
Structure: optimized geometry

Computed properties:
DFT formation energy = -0.020 eV/atom
volume = 32.126 A^3/atom

Lattice parameters (Å, degrees): 5.1410 7.2831 15.4439 90.00 90.00 90.00
Last column: nearest neighbours and their distance in Å.
Space group Immm (No. 71)
Inequivalent atoms, fractional coordinates:
Ho  0.0000  0.2451  0.0000 (multiplicity 4)  2 Cd 3.13, 2 In 3.17
Ho  0.0000  0.2526  0.3344 (multiplicity 8)  1 Cd 3.13, 3 In 3.16
Cd  0.0000  0.5000  0.5000 (multiplicity 2)  8 Ho 3.13
In  0.0000  0.5000  0.1666 (multiplicity 4)  8 Ho 3.16-3.17

***

3.
Compound: Ac2AsN2
Source: Alexandria via LeMat-Bulk
Functional: PBE
Structure: optimized geometry

Computed properties:
excess energy over the best structure of this formula in the dataset = 0 meV per atom
uncorrected formation energy = -1.038 eV per atom
volume = 23.348 A^3/atom

Lattice parameters (Å, degrees): 14.5150 4.5400 7.2561 90.00 102.43 90.00
Last column: nearest neighbours and their distance in Å.
Space group C2/c (No. 15)
Inequivalent atoms, fractional coordinates:
Ac  0.1344  0.2461  0.1547 (multiplicity 8)  3 N 2.51-2.80
As  0.0000  0.2481  0.7500 (multiplicity 4)  6 Ac 3.15-3.18
N  0.2266  0.1444  0.5292 (multiplicity 8)  1 N 1.30

***

4.
Compound: Be3TlFe
Source: Alexandria via LeMat-Bulk
Functional: PBE
Structure: optimized geometry

Computed properties:
excess energy over the best structure of this formula in the dataset = 823 meV per atom
DFT formation energy = 1.587 eV/atom
volume = 17.881 A^3/atom

Lattice parameters (Å, degrees): 4.4715 4.4715 4.4715 90.00 90.00 90.00
Last column: nearest neighbours and their distance in Å.
Space group Pm-3m (No. 221)
Inequivalent atoms, fractional coordinates:
Be  0.0000  0.0000  0.5000 (multiplicity 3)  2 Tl 2.24
Tl  0.0000  0.0000  0.0000 (multiplicity 1)  6 Be 2.24
Fe  0.5000  0.5000  0.5000 (multiplicity 1)  12 Be 3.16